NaGe2Br6 | PBE | optimized geometry

Cell lengths 9.6194, 9.1953, 9.1953 Å; angles 84.16, 71.11, 71.11 degrees
Sites, in units of the cell vectors:
Ge (0.7329, 0.3899, 0.2374)
Ge (0.2671, 0.6101, 0.7626)
Ge (0.2329, 0.2374, 0.3899)
Ge (0.7671, 0.7626, 0.6101)
Br (0.8604, 0.1991, 0.0266)
Br (0.9646, 0.3626, 0.3444)
Br (0.6841, 0.6210, 0.0795)
Br (0.1841, 0.0795, 0.6210)
Br (0.3159, 0.3790, 0.9205)
Br (0.4646, 0.3443, 0.3626)
Br (0.3604, 0.0266, 0.1991)
Br (0.8159, 0.9205, 0.3790)
Br (0.0354, 0.6374, 0.6556)
Br (0.1396, 0.8009, 0.9734)
Br (0.5354, 0.6556, 0.6374)
Br (0.6396, 0.9734, 0.8009)
Na (0.2500, 0.0860, 0.9140)
Na (0.7500, 0.9140, 0.0860)

Computed properties:
The calculation puts the total energy at -54.12 eV/cell. The calculation puts the uncorrected formation energy at -0.72 eV per atom. The calculation puts the calculated volume at 40.4 A^3/atom. Its symmetry is C2/c. For the magnetic moment, the calculation gives 0.0 μB/f.u.